DFT (PBE-GGA) results for a geometry-optimized ZrReAs2 structure.

Output
crystal system	tetragonal
formation energy from the elements	-0.31	eV per atom
distance to the lowest polymorph of the same formula	96	meV per atom

Cell lengths 3.3985, 3.3985, 6.0096 Å; angles 90.00, 90.00, 90.00 degrees
With the nearest neighbours (Å) after each atom.
Space group P4mm (No. 99)
Asymmetric unit:
1 Zr 0.0000 0.0000 0.0000  4 As 2.68
2 Re 0.5000 0.5000 0.6824  5 As 2.64-2.92
3 As 0.0000 0.0000 0.4994  4 Re 2.64
4 As 0.5000 0.5000 0.1967  4 Zr 2.68, 1 Re 2.92


DFT (PBE-GGA) results for a geometry-optimized Mg2Sc5TlAg2 structure.

Output
crystal system	tetragonal
formation energy from the elements	-0.09	eV per atom

Cell lengths 11.4706, 11.4706, 3.6026 Å; angles 90.00, 90.00, 90.00 degrees
With the nearest neighbours (Å) after each atom.
Space group P4/mbm (No. 127)
Asymmetric unit:
1 Mg 0.1715 0.3285 0.0000  3 Ag 3.23-3.49, 6 Sc 3.31-3.46, 2 Mg 3.60
2 Sc 0.0000 0.5000 0.5000  4 Ag 2.77
3 Sc 0.0720 0.8012 0.5000  2 Ag 2.75, 2 Tl 3.02
4 Tl 0.0000 0.0000 0.0000  8 Sc 3.02
5 Ag 0.1294 0.6294 0.0000  6 Sc 2.75-2.77


Question: Look up the formation energy from the elements of the first one.
Answer: -0.31 eV per atom


Question: Look up the formation energy from the elements of the second one.
Answer: -0.09 eV per atom


Question: What is the formula in the second record?
Answer: Mg2Sc5TlAg2